{"formula": "TbPu2PaN4", "functional": "GGA-PBE", "state": "optimized geometry", "dos_ef_per_ev_cell": 10.54, "dft_energy_ev_per_atom": -10.979, "cell": [[3.512, 0.000, 0.000], [0.000, 6.055, 0.104], [0.000, -2.116, 5.665]], "species": ["N", "Tb", "N", "N", "Pa", "Pu", "N", "Pu"], "fractional_positions": [[0.000, 0.240, 0.754], [0.500, 0.500, 0.000], [0.500, 0.761, 0.762], [0.500, 0.239, 0.238], [0.000, 0.000, 0.000], [0.000, 0.500, 0.500], [0.000, 0.760, 0.246], [0.500, 0.000, 0.500]]}